Crystalline Rb2YCdCl6 at its relaxed geometry. Source: Alexandria, functional PBE.

Properties
The value obtained for the energy relative to the lowest polymorph listed for this composition is 0 meV/atom. The space group is No. 59. For the uncorrected energy, the calculation gives -3.81 eV per atom.

```
data_Rb2YCdCl6
_symmetry_space_group_name_H-M 'P 1'
_symmetry_Int_Tables_number 1
_cell_length_a 7.664
_cell_length_b 8.156
_cell_length_c 11.106
_cell_angle_alpha 90.00
_cell_angle_beta 90.00
_cell_angle_gamma 90.00
loop_
_symmetry_equiv_pos_as_xyz
'x,y,z'
loop_
_atom_site_label
_atom_site_type_symbol
_atom_site_fract_x
_atom_site_fract_y
_atom_site_fract_z
_atom_site_occupancy
Cl1 Cl 0.754 0.443 0.500 1
Cl2 Cl 0.241 0.009 0.000 1
Cl3 Cl 0.500 0.215 0.738 1
Cl4 Cl 0.000 0.785 0.238 1
Cl5 Cl 0.500 0.215 0.262 1
Cl6 Cl 0.741 0.991 0.500 1
Cd1 Cd 0.500 0.280 0.000 1
Cd2 Cd 0.000 0.720 0.500 1
Y1 Y 0.000 0.774 0.000 1
Cl7 Cl 0.259 0.991 0.500 1
Rb1 Rb 0.000 0.204 0.722 1
Rb2 Rb 0.500 0.796 0.222 1
Cl8 Cl 0.254 0.557 0.000 1
Cl9 Cl 0.246 0.443 0.500 1
Cl10 Cl 0.746 0.557 0.000 1
Rb3 Rb 0.500 0.796 0.778 1
Rb4 Rb 0.000 0.204 0.278 1
Cl11 Cl 0.000 0.785 0.762 1
Cl12 Cl 0.759 0.009 0.000 1
Y2 Y 0.500 0.226 0.500 1
```